A plane-wave DFT calculation with PBE-GGA was carried out for an optimized crystal structure of TiCr2Pb2.

```
data_TiCr2Pb2
_space_group_name_H-M_alt 'P 1'
_space_group_IT_number 1
_cell_length_a 4.9952
_cell_length_b 4.9952
_cell_length_c 7.9885
_cell_angle_alpha 90.00
_cell_angle_beta 90.00
_cell_angle_gamma 90.00
loop_
_space_group_symop_operation_xyz
'x,y,z'
loop_
_atom_site_label
_atom_site_type_symbol
_atom_site_fract_x
_atom_site_fract_y
_atom_site_fract_z
Ti1 Ti 0.0000 0.0000 0.0000
Ti2 Ti 0.5000 0.5000 0.5000
Cr1 Cr 0.0000 0.0000 0.3848
Cr2 Cr 0.0000 0.0000 0.6152
Cr3 Cr 0.5000 0.5000 0.1152
Cr4 Cr 0.5000 0.5000 0.8848
Pb1 Pb 0.0000 0.5000 0.2500
Pb2 Pb 0.0000 0.5000 0.7500
Pb3 Pb 0.5000 0.0000 0.2500
Pb4 Pb 0.5000 0.0000 0.7500
```

Values from the calculation:
electronic total energy = -6.18 eV per atom
M_tot = 1.49 Bohr magnetons per cell
calculated volume = 199 Å³ per cell

A plane-wave DFT calculation with PBE-GGA was carried out for an optimized crystal structure of TiCrPb3.

```
data_TiCrPb3
_space_group_name_H-M_alt 'P 1'
_space_group_IT_number 1
_cell_length_a 5.2084
_cell_length_b 5.2084
_cell_length_c 5.2084
_cell_angle_alpha 90.00
_cell_angle_beta 90.00
_cell_angle_gamma 90.00
loop_
_space_group_symop_operation_xyz
'x,y,z'
loop_
_atom_site_label
_atom_site_type_symbol
_atom_site_fract_x
_atom_site_fract_y
_atom_site_fract_z
Ti1 Ti 0.0000 0.0000 0.0000
Cr1 Cr 0.5000 0.5000 0.5000
Pb1 Pb 0.0000 0.5000 0.5000
Pb2 Pb 0.5000 0.0000 0.5000
Pb3 Pb 0.5000 0.5000 0.0000
```

Values from the calculation:
electronic total energy = -4.92 eV per atom
M_tot = 4.43 Bohr magnetons per cell
calculated volume = 141 Å³ per cell